No. 1
The following is a PBE-GGA calculation of ZnMoPt after structural relaxation, from Alexandria via LeMat-Bulk.

Unit cell a=4.6879 b=4.6879 c=10.6026 alpha=90.00 beta=90.00 gamma=120.00
Element x y z (fractional)
Zn 0.0000 0.0000 0.2500
Zn 0.0000 0.0000 0.7500
Zn 0.3333 0.6667 0.2500
Zn 0.6667 0.3333 0.7500
Mo 0.0000 0.0000 0.0000
Mo 0.0000 0.0000 0.5000
Mo 0.3333 0.6667 0.7500
Mo 0.6667 0.3333 0.2500
Pt 0.3333 0.6667 0.5149
Pt 0.3333 0.6667 0.9851
Pt 0.6667 0.3333 0.0149
Pt 0.6667 0.3333 0.4851

Output
- Total magnetic moment: 0.0001 μB/atom
- E_form: 354 meV per atom



No. 2
The following is a PBE-GGA calculation of DyAg3S3 after structural relaxation, from Alexandria via LeMat-Bulk.

Unit cell a=7.8943 b=7.8943 c=7.8943 alpha=54.69 beta=54.69 gamma=54.69
Element x y z (fractional)
Dy 0.1654 0.1654 0.1654
Dy 0.8346 0.8346 0.8346
Ag 0.0667 0.3719 0.6938
Ag 0.3062 0.9333 0.6281
Ag 0.3719 0.6938 0.0667
Ag 0.6281 0.3062 0.9333
Ag 0.6938 0.0667 0.3719
Ag 0.9333 0.6281 0.3062
S 0.0695 0.7793 0.4298
S 0.2207 0.5702 0.9305
S 0.4298 0.0695 0.7793
S 0.5702 0.9305 0.2207
S 0.7793 0.4298 0.0695
S 0.9305 0.2207 0.5702

Output
- Total magnetic moment: 0.0000 μB/atom
- Formation energy without anion corrections: -0.74 eV per atom



No. 3
The following is a PBE-GGA calculation of BPN after structural relaxation, from Alexandria via LeMat-Bulk.

Unit cell a=4.0938 b=4.0938 c=4.0938 alpha=130.59 beta=130.59 gamma=72.47
Element x y z (fractional)
B 0.0000 0.0000 0.0000
P 0.7194 0.7194 0.0000
N 0.2048 0.2048 0.0000

Output
- Total magnetic moment: 0.0000 μB/atom
- Formation energy without anion corrections: 1.01 eV per atom